# 1
A geometry-optimized Sn3TeN structure, computed with GGA-PBE.

It has space group Pm-3m (No. 221), with a = 4.9604 Å, b = 4.9604 Å, c = 4.9604 Å, α = 90.00°, β = 90.00° and γ = 90.00°. The distinct sites, in fractional coordinates, are Sn at (0.0000, 0.0000, 0.5000), Te at (0.5000, 0.5000, 0.5000) and N at (0.0000, 0.0000, 0.0000).

The energy above the lowest structure with this stoichiometry is 0.0 kJ per mole of atoms.

=====

# 2
A geometry-optimized LaTbDyN3 structure, computed with GGA-PBE.

It has space group P2_1/m (No. 11), with a = 6.1114 Å, b = 3.5735 Å, c = 9.1857 Å, α = 90.00°, β = 101.84° and γ = 90.00°. The distinct sites, in fractional coordinates, are La at (0.1528, 0.2500, 0.1997), Tb at (0.2703, 0.7500, 0.5437), Dy at (0.3540, 0.2500, 0.8589), N at (0.0391, 0.2500, 0.6682), N at (0.2574, 0.7500, 0.9867) and N at (0.4700, 0.7500, 0.3487).

Its energy is -7.9356 eV/atom.

=====

# 3
A geometry-optimized Pr8IrRh2 structure, computed with GGA-PBE.

It has space group Cm (No. 8), with a = 8.4886 Å, b = 12.9736 Å, c = 6.5276 Å, α = 90.00°, β = 111.30° and γ = 90.00°. The distinct sites, in fractional coordinates, are Pr at (0.0000, 0.0000, 0.0000), Pr at (0.0685, 0.3670, 0.7971), Pr at (0.1350, 0.1324, 0.5652), Pr at (0.2043, 0.5000, 0.3814), Pr at (0.3480, 0.1999, 0.1882), Ir at (0.3572, 0.0000, 0.3936) and Rh at (0.3547, 0.3143, 0.6889).

Its energy of formation from the pure elements is -7.449 kcal/mol of atoms.